# 1
Here is an optimized crystal structure of Zn2ReSi from Alexandria. Energies are from PBE-GGA.

abc: 4.7763 4.7763 4.7763
angles: 136.89 130.74 67.50
Atoms (fractional coordinates):
Zn 0.0026 0.0026 0.0000
Zn 0.7530 0.2530 0.5000
Re 0.4926 0.4926 0.0000
Si 0.2518 0.7518 0.5000

Summary:
total moment: 0.000 μB per formula unit
formation energy from raw total energies: 0.11 eV per atom
SG: Imm2, No. 44
DFT total energy: -4.997 eV/atom

---

# 2
Here is an optimized crystal structure of Th4PRuSe2 from Alexandria. Energies are from PBE-GGA.

abc: 4.0727 7.3347 7.4154
angles: 108.42 90.00 90.00
Atoms (fractional coordinates):
Th 0.5000 0.7569 0.7708
Th 0.0000 0.7314 0.2218
Th 0.5000 0.2431 0.2292
Th 0.0000 0.2686 0.7782
Se 0.5000 0.0000 0.5000
Se 0.0000 0.5000 0.5000
P 0.0000 0.0000 0.0000
Ru 0.5000 0.5000 0.0000

Summary:
total moment: 0.000 μB per formula unit
formation energy from raw total energies: -1.30 eV per atom
SG: P2/m, No. 10
DFT total energy: -7.719 eV/atom

---

# 3
Here is an optimized crystal structure of Pm8Pr6Th from Alexandria. Energies are from PBE-GGA.

abc: 8.8752 8.8752 8.8752
angles: 63.41 63.41 63.41
Atoms (fractional coordinates):
Pm 0.8862 0.2852 0.2446
Pm 0.2446 0.8862 0.2852
Pm 0.7148 0.7554 0.1138
Pm 0.5770 0.5770 0.5770
Pm 0.7554 0.1138 0.7148
Pm 0.4230 0.4230 0.4230
Pm 0.2852 0.2446 0.8862
Pm 0.1138 0.7148 0.7554
Pr 0.5393 0.2350 0.0993
Pr 0.0993 0.5393 0.2350
Pr 0.2350 0.0993 0.5393
Pr 0.9007 0.4607 0.7650
Pr 0.4607 0.7650 0.9007
Pr 0.7650 0.9007 0.4607
Th 0.0000 0.0000 0.0000

Summary:
total moment: 0.000 μB per formula unit
SG: R-3, No. 148
energy of formation from the pure elements: 113.1 meV/atom
DFT total energy: -4.827 eV/atom